DFT (GGA-PBE) results for an optimized crystal structure of CuPdI2O.

Summary:
symmetry = P4/mmm (123)
N(E_F) = 5.9 states/eV per cell
E = -15.898 eV per cell
formation energy (no corrections) = 290 meV per atom

a = 5.6068 Å, b = 5.6068 Å, c = 3.8390 Å
α = 90.00°, β = 90.00°, γ = 90.00°
With the nearest neighbours (Å) after each atom.
Fractional positions:
Cu: 0.5000 0.5000 0.5000  8 I 3.40
I: 0.0000 0.5000 0.0000  2 Pd 2.80
O: 0.0000 0.0000 0.5000  2 Pd 1.92
Pd: 0.0000 0.0000 0.0000  2 O 1.92
I: 0.5000 0.0000 0.0000  2 Pd 2.80